No. 1
# YReW2

YReW2 after structural relaxation (PBE, Alexandria).

The structure in POSCAR format:
```
YReW2
1.0
-5.369 4.388 -3.168
1.887 -2.665 -6.889
-3.608 -1.213 -4.737
Y W Re
2 4 2
Direct
0.500 0.500 0.000
0.250 0.750 0.500
0.375 0.324 0.750
0.875 0.926 0.750
0.074 0.625 0.250
0.676 0.125 0.250
0.750 0.250 0.500
0.000 0.000 0.000
```

Calculated values
Volume (Å³/f.u.): 81.5
Magnetization (μB/f.u.): 0.00
DFT formation energy (meV per atom): 853
Symmetry: I-42d (122)
VASP energy (Ha/atom): -0.3804
Density of states at the Fermi level (states/eV per atom): 0.518

***

No. 2
# YReW2

YReW2 after structural relaxation (PBE, Alexandria).

The structure in POSCAR format:
```
YReW2
1.0
9.698 0.010 0.006
9.243 2.938 0.006
9.243 1.438 2.561
W Re Y
2 1 1
Direct
0.009 0.009 0.009
0.491 0.491 0.491
0.750 0.750 0.750
0.250 0.250 0.250
```

Calculated values
Volume (Å³/f.u.): 72.6
Magnetization (μB/f.u.): 0.00
DFT formation energy (meV per atom): 583
Symmetry: R-3m (166)
VASP energy (Ha/atom): -0.3904
Density of states at the Fermi level (states/eV per atom): 1.347

***

No. 3
# YRe2W

YRe2W after structural relaxation (PBE, Alexandria).

The structure in POSCAR format:
```
YRe2W
1.0
4.638 0.000 0.000
0.000 4.638 0.000
0.000 0.000 3.240
Re Y W
2 1 1
Direct
0.000 0.000 0.000
0.500 0.500 0.000
0.000 0.500 0.500
0.500 0.000 0.500
```

Calculated values
Volume (Å³/f.u.): 69.7
Magnetization (μB/f.u.): 0.00
DFT formation energy (meV per atom): 325
Symmetry: P4/mmm (123)
VASP energy (Ha/atom): -0.3952
Density of states at the Fermi level (states/eV per atom): 0.732

***

No. 4
# Y4ReW

Y4ReW after structural relaxation (PBE, Alexandria).

The structure in POSCAR format:
```
Y4ReW
1.0
1.913 -3.627 4.174
-2.687 -0.158 5.196
-3.188 -4.671 1.504
Y Re W
4 1 1
Direct
0.375 0.375 0.875
0.375 0.375 0.375
0.375 0.875 0.375
0.875 0.375 0.375
0.750 0.750 0.750
0.000 0.000 0.000
```

Calculated values
Volume (Å³/f.u.): 141.7
Magnetization (μB/f.u.): 0.00
DFT formation energy (meV per atom): 1329
Symmetry: F-43m (216)
VASP energy (Ha/atom): -0.2651
Density of states at the Fermi level (states/eV per atom): 1.721

***

No. 5
# YRe2W

YRe2W after structural relaxation (PBE, Alexandria).

The structure in POSCAR format:
```
YRe2W
1.0
3.209 0.000 0.000
0.000 3.208 0.000
0.000 0.000 6.986
Y W Re
1 1 2
Direct
0.500 0.500 0.750
0.500 0.500 0.250
0.000 0.000 0.462
0.000 0.000 0.038
```

Calculated values
Volume (Å³/f.u.): 71.9
Magnetization (μB/f.u.): 0.00
DFT formation energy (meV per atom): 148
Symmetry: P4/mmm (123)
VASP energy (Ha/atom): -0.4017
Density of states at the Fermi level (states/eV per atom): 0.476

***

No. 6
# YReW4

YReW4 after structural relaxation (PBE, Alexandria).

The structure in POSCAR format:
```
YReW4
1.0
5.201 -0.261 1.265
2.498 4.313 1.969
1.516 0.105 5.139
W Re Y
4 1 1
Direct
0.876 0.375 0.375
0.375 0.375 0.375
0.375 0.375 0.876
0.375 0.876 0.375
0.000 0.000 0.000
0.750 0.750 0.750
```

Calculated values
Volume (Å³/f.u.): 108.8
Magnetization (μB/f.u.): 0.00
DFT formation energy (meV per atom): 354
Symmetry: F-43m (216)
VASP energy (Ha/atom): -0.4202
Density of states at the Fermi level (states/eV per atom): 1.079